(1)
The following is a DFT calculation (PBE) of a relaxed structure of KAlPt2.

Cell: 4.7304 4.7304 4.7304 Å, 60.00 60.00 60.00°
Fractional coordinates of all 4 atoms:
Al  0.5000  0.5000  0.5000
Pt  0.0000  0.0000  0.0000
Pt  0.2500  0.2500  0.2500
K  0.7500  0.7500  0.7500

---

(2)
The following is a DFT calculation (PBE) of a relaxed structure of KAl3Pt.

Cell: 5.3520 5.3520 5.3520 Å, 90.00 90.00 90.00°
Fractional coordinates of all 5 atoms:
K  0.0000  0.0000  0.0000
Al  0.5000  0.0000  0.0000
Al  0.0000  0.0000  0.5000
Al  0.0000  0.5000  0.0000
Pt  0.5000  0.5000  0.5000

---

(3)
The following is a DFT calculation (PBE) of a relaxed structure of KAlPt2.

Cell: 5.0365 5.0365 2.8808 Å, 90.00 90.00 90.00°
Fractional coordinates of all 4 atoms:
Al  0.5000  0.0000  0.5000
K  0.0000  0.5000  0.5000
Pt  0.5000  0.5000  0.0000
Pt  0.0000  0.0000  0.0000

---

(4)
The following is a DFT calculation (PBE) of a relaxed structure of KAlPt2.

Cell: 6.1266 6.1266 6.1266 Å, 153.34 131.13 56.53°
Fractional coordinates of all 4 atoms:
K  0.2540  0.7540  0.5000
Pt  0.9641  0.9641  0.0000
Pt  0.7374  0.2374  0.5000
Al  0.5445  0.5445  0.0000

---

Calculated total energy? In order: -3.99; -1.76; -4.23; -4.40 eV/atom.
Energy of formation? In order: 0.24; 1.91; 0.00; -0.17 eV/atom.